# 1
MgCd3Hg3 | GGA-PBE | optimized geometry

abc: 8.0597 8.0597 8.0597
angles: 90.00 90.00 90.00
Atoms (fractional coordinates):
Cd 0.5000 0.2500 0.0000
Hg 0.0000 0.2500 0.5000
Hg 0.2500 0.5000 0.0000
Hg 0.0000 0.7500 0.5000
Mg 0.5000 0.5000 0.5000
Mg 0.0000 0.0000 0.0000
Hg 0.5000 0.0000 0.2500
Cd 0.0000 0.5000 0.2500
Cd 0.0000 0.5000 0.7500
Cd 0.7500 0.0000 0.5000
Cd 0.5000 0.7500 0.0000
Cd 0.2500 0.0000 0.5000
Hg 0.7500 0.5000 0.0000
Hg 0.5000 0.0000 0.7500

## Properties
The formation energy is 339 meV/atom. The value obtained for the relative energy among the computed polymorphs is 366 meV/atom. The total magnetization is 0.00 Bohr magnetons per cell.

***

# 2
ScReAg2 | GGA-PBE | optimized geometry

abc: 9.7061 9.7061 9.7061
angles: 17.32 17.32 17.32
Atoms (fractional coordinates):
Ag 0.2487 0.2487 0.2487
Ag 0.9998 0.9998 0.9998
Re 0.4991 0.4991 0.4991
Sc 0.7524 0.7524 0.7524

## Properties
The formation energy is 278 meV/atom. The value obtained for the relative energy among the computed polymorphs is 82 meV/atom. The total magnetization is 0.00 Bohr magnetons per cell.

***

# 3
SbTeAu2 | GGA-PBE | optimized geometry

abc: 5.0544 5.0544 5.0544
angles: 60.00 60.00 60.00
Atoms (fractional coordinates):
Au 0.2500 0.2500 0.2500
Te 0.5000 0.5000 0.5000
Sb 0.0000 0.0000 0.0000
Au 0.7500 0.7500 0.7500

## Properties
The value obtained for the relative energy among the computed polymorphs is 301 meV/atom. As for the energy relative to the elements, uncorrected: 0.263 eV per atom. The total magnetization is 0.00 Bohr magnetons per cell.

***

# 4
La2CeErBi5 | GGA-PBE | optimized geometry

abc: 5.4241 5.4241 12.0734
angles: 90.00 90.00 90.00
Atoms (fractional coordinates):
La 0.5000 0.5000 0.2811
Er 0.0000 0.0000 0.5000
Bi 0.5000 0.0000 0.5000
Bi 0.0000 0.0000 0.2490
Bi 0.0000 0.5000 0.5000
La 0.5000 0.5000 0.7189
Ce 0.0000 0.0000 0.0000
Bi 0.5000 0.5000 0.0000
Bi 0.0000 0.0000 0.7510

## Properties
The formation energy is -287 meV/atom. The total magnetization is 0.73 Bohr magnetons per cell.

***

# 5
Mg2GaPd5 | GGA-PBE | optimized geometry

abc: 4.1550 5.5098 10.7395
angles: 90.00 90.00 90.00
Atoms (fractional coordinates):
Pd 0.5000 0.6836 0.8937
Ga 0.0000 0.0000 0.5000
Mg 0.5000 0.3302 0.3593
Mg 0.5000 0.1698 0.8593
Pd 0.0000 0.5802 0.2392
Mg 0.5000 0.6698 0.6407
Mg 0.5000 0.8302 0.1407
Pd 0.0000 0.4198 0.7608
Pd 0.5000 0.3164 0.1063
Pd 0.5000 0.1836 0.6063
Pd 0.0000 0.0802 0.2608
Pd 0.0000 0.5000 0.5000
Pd 0.5000 0.8164 0.3937
Ga 0.0000 0.5000 0.0000
Pd 0.0000 0.9198 0.7392
Pd 0.0000 0.0000 0.0000

## Properties
The formation energy is -707 meV/atom. The total magnetization is 0.00 Bohr magnetons per cell.

***

# 6
Dy2BiRh | GGA-PBE | optimized geometry

abc: 3.5661 3.5661 7.7522
angles: 90.00 90.00 90.00
Atoms (fractional coordinates):
Rh 0.5000 0.5000 0.0000
Dy 0.0000 0.0000 0.2104
Dy 0.0000 0.0000 0.7896
Bi 0.5000 0.5000 0.5000

## Properties
The formation energy is -724 meV/atom. The value obtained for the relative energy among the computed polymorphs is 85 meV/atom. The total magnetization is 0.00 Bohr magnetons per cell.

***

# 7
Nd4AsPCl2 | GGA-PBE | optimized geometry

abc: 4.1869 7.3199 7.2960
angles: 70.58 90.00 90.00
Atoms (fractional coordinates):
Nd 0.5000 0.2830 0.7275
Nd 0.5000 0.7170 0.2725
Cl 0.0000 0.0000 0.0000
P 0.0000 0.5000 0.5000
As 0.5000 0.5000 0.0000
Nd 0.0000 0.2795 0.2538
Cl 0.5000 0.0000 0.5000
Nd 0.0000 0.7205 0.7462

## Properties
As for the energy relative to the elements, uncorrected: -1.571 eV per atom. The total magnetization is 0.00 Bohr magnetons per cell.

***

# 8
RbInI2 | GGA-PBE | optimized geometry

abc: 4.3556 6.1312 6.1312
angles: 90.00 90.00 90.00
Atoms (fractional coordinates):
I 0.0000 0.5000 0.0000
In 0.5000 0.0000 0.0000
I 0.0000 0.0000 0.5000
Rb 0.5000 0.5000 0.5000

## Properties
The value obtained for the relative energy among the computed polymorphs is 44 meV/atom. As for the energy relative to the elements, uncorrected: -0.922 eV per atom. The total magnetization is 0.00 Bohr magnetons per cell.

***

# 9
FeAs2H2 | GGA-PBE | optimized geometry

abc: 5.2429 5.2429 4.3757
angles: 90.00 90.00 90.00
Atoms (fractional coordinates):
Fe 0.5000 0.5000 0.0000
As 0.7499 0.7501 0.5000
As 0.2499 0.7499 0.5000
H 0.7503 0.7497 0.0000
Fe 0.0000 0.0000 0.0000
H 0.2497 0.2503 0.0000
H 0.2503 0.7503 0.0000
As 0.2501 0.2499 0.5000
As 0.7501 0.2501 0.5000
H 0.7497 0.2497 0.0000

## Properties
The value obtained for the relative energy among the computed polymorphs is 225 meV/atom. The total magnetization is 4.10 Bohr magnetons per cell.

***

# 10
TlTc2P | GGA-PBE | optimized geometry

abc: 5.1852 5.1852 2.9964
angles: 74.14 74.14 109.36
Atoms (fractional coordinates):
Tc 0.0000 0.5000 0.0000
Tl 0.0000 0.0000 0.5000
P 0.5000 0.5000 0.5000
Tc 0.5000 0.0000 0.0000

## Properties
The formation energy is 736 meV/atom. The value obtained for the relative energy among the computed polymorphs is 691 meV/atom. The total magnetization is 0.00 Bohr magnetons per cell.

***

# 11
Ca2ZrPb | GGA-PBE | optimized geometry

abc: 5.1627 3.5761 6.8227
angles: 74.91 90.00 90.00
Atoms (fractional coordinates):
Pb 0.0000 0.6847 0.5043
Ca 0.0000 0.9582 0.9608
Ca 0.5000 0.2911 0.2903
Zr 0.5000 0.5660 0.7446

## Properties
The formation energy is 0 meV/atom. The total magnetization is 0.44 Bohr magnetons per cell.

***

# 12
BaPu4O12 | GGA-PBE | optimized geometry

abc: 7.2772 7.2772 7.2772
angles: 109.47 109.47 109.48
Atoms (fractional coordinates):
O 0.5142 0.2566 0.2577
O 0.9989 0.2566 0.7423
O 0.0011 0.7434 0.2577
O 0.2426 0.4995 0.2569
Pu 0.0000 0.0000 0.5000
O 0.7571 0.2580 0.0151
Pu 0.5000 0.5000 0.5000
Pu 0.0000 0.5000 0.0000
O 0.2429 0.2580 0.5009
O 0.2426 0.9856 0.7431
Pu 0.5000 0.0000 0.0000
O 0.7574 0.5005 0.7431
O 0.2429 0.7420 0.9849
O 0.4858 0.7434 0.7423
O 0.7571 0.7420 0.4991
Ba 0.0000 0.5000 0.5000
O 0.7574 0.0144 0.2569

## Properties
As for the energy relative to the elements, uncorrected: -2.680 eV per atom. The total magnetization is 10.00 Bohr magnetons per cell.